# ScTa2Ir PBE relaxed
# Energy: -10.025 eV/atom
# Formation energy from the elements: -0.3006 eV per atom
# Total moment: 0.00 μB per formula unit
data_ScTa2Ir
_cell_length_a 3.200
_cell_length_b 3.200
_cell_length_c 7.018
_cell_angle_alpha 90.00
_cell_angle_beta 90.00
_cell_angle_gamma 90.00
_symmetry_space_group_name_H-M 'P 4 m m'
_symmetry_Int_Tables_number 99
_symmetry_space_group_name_Hall 'P 4 -2'
loop_
_atom_site_label
_atom_site_type_symbol
_atom_site_fract_x
_atom_site_fract_y
_atom_site_fract_z
Sc1 Sc 0.000 0.000 0.000
Ta1 Ta 0.000 0.000 0.531
Ta2 Ta 0.500 0.500 0.273
Ir1 Ir 0.500 0.500 0.748